[1]
DFT (PBE) results for a geometry-optimized LaNdSi2Os2 structure.

Lattice parameters (Å, degrees): 4.2317 4.2317 7.0808 90.00 90.00 90.00
Closest atoms and distances in Å follow each position.
Space group P4mm (No. 99)
One atom of each set of equivalent atoms:
La1 0.0000 0.0000 0.0000 (multiplicity 1)  4 Os 3.13, 4 Si 3.18
Nd1 0.5000 0.5000 0.3566 (multiplicity 1)  4 Os 3.09, 4 Si 3.16
Si1 0.0000 0.0000 0.5003 (multiplicity 1)  4 Os 2.45
Si2 0.5000 0.5000 0.8480 (multiplicity 1)  4 Os 2.45
Os1 0.0000 0.5000 0.6741 (multiplicity 2)  4 Si 2.45

Computed properties:
DFT total energy	-7.808	eV per atom

[2]
DFT (PBE) results for a geometry-optimized LaNd2Tm3Te2Os structure.

Lattice parameters (Å, degrees): 4.1375 14.6082 8.3828 90.00 90.00 90.00
Closest atoms and distances in Å follow each position.
Space group Amm2 (No. 38)
One atom of each set of equivalent atoms:
La1 0.0000 0.0000 0.0000 (multiplicity 2)  4 Te 3.33, 1 Os 3.37, 6 Tm 3.58-3.73
Nd1 0.0000 0.1982 0.5969 (multiplicity 4)  4 Te 3.29-3.30, 1 Os 3.32, 4 Tm 3.55-3.57
Tm1 0.5000 0.0000 0.6304 (multiplicity 2)  2 Os 2.82
Tm2 0.5000 0.1148 0.2854 (multiplicity 4)  2 Os 2.84
Te1 0.5000 0.1686 0.8984 (multiplicity 4)  4 Nd 3.29-3.30, 3 Tm 3.30-3.34, 2 La 3.33
Os1 0.0000 0.0000 0.4025 (multiplicity 2)  6 Tm 2.82-2.84

Computed properties:
DFT total energy	-5.817	eV per atom

[3]
DFT (PBE) results for a geometry-optimized La2NdTm3Te2Os structure.

Lattice parameters (Å, degrees): 4.1650 14.5717 8.4564 90.00 90.00 90.00
Closest atoms and distances in Å follow each position.
Space group Amm2 (No. 38)
One atom of each set of equivalent atoms:
La1 0.0000 0.1992 0.0000 (multiplicity 4)  4 Te 3.33, 1 Os 3.38, 4 Tm 3.58-3.60
Nd1 0.0000 0.0000 0.4048 (multiplicity 2)  4 Te 3.30, 1 Os 3.31, 4 Tm 3.57
Tm1 0.5000 0.0000 0.0267 (multiplicity 2)  2 Os 2.85
Tm2 0.5000 0.1142 0.6847 (multiplicity 4)  2 Os 2.83
Te1 0.5000 0.1646 0.3009 (multiplicity 4)  2 Nd 3.30, 4 La 3.33, 3 Tm 3.33-3.37
Os1 0.0000 0.0000 0.7962 (multiplicity 2)  6 Tm 2.83-2.85

Computed properties:
DFT total energy	-5.842	eV per atom

[4]
DFT (PBE) results for a geometry-optimized LaNd2P3 structure.

Lattice parameters (Å, degrees): 4.2024 4.2024 10.2861 90.00 90.00 120.00
Closest atoms and distances in Å follow each position.
Space group P-3m1 (No. 164)
One atom of each set of equivalent atoms:
La1 0.0000 0.0000 0.0000 (multiplicity 1)  6 P 2.99
Nd1 0.3333 0.6667 0.3358 (multiplicity 2)  6 P 2.96
P1 0.0000 0.0000 0.5000 (multiplicity 1)  6 Nd 2.96
P2 0.3333 0.6667 0.8295 (multiplicity 2)  3 Nd 2.96, 3 La 2.99

Computed properties:
DFT total energy	-6.665	eV per atom

[5]
DFT (PBE) results for a geometry-optimized LaNd2Ta2P6 structure.

Lattice parameters (Å, degrees): 4.7447 4.7447 23.1029 90.00 90.00 90.00
Closest atoms and distances in Å follow each position.
Space group I4/mmm (No. 139)
One atom of each set of equivalent atoms:
La1 0.0000 0.0000 0.0000 (multiplicity 2)  8 P 3.05
Nd1 0.0000 0.0000 0.1677 (multiplicity 4)  5 P 2.89-3.08
Ta1 0.0000 0.0000 0.3928 (multiplicity 4)  5 P 2.31-2.44
P1 0.0000 0.0000 0.2928 (multiplicity 4)  1 Ta 2.31
P2 0.0000 0.5000 0.0828 (multiplicity 8)  2 Ta 2.44

Computed properties:
DFT total energy	-7.365	eV per atom

[6]
DFT (PBE) results for a geometry-optimized LaNdPa structure.

Lattice parameters (Å, degrees): 7.3910 7.3910 7.3910 90.00 90.00 90.00
Closest atoms and distances in Å follow each position.
Space group F-43m (No. 216)
One atom of each set of equivalent atoms:
La1 0.0000 0.0000 0.0000 (multiplicity 4)  4 Pa 3.20, 4 Nd 3.20
Nd1 0.2500 0.2500 0.7500 (multiplicity 4)  4 La 3.20
Pa1 0.2500 0.2500 0.2500 (multiplicity 4)  4 La 3.20

Computed properties:
energy above the most stable polymorph in this dataset	0	meV per atom
E_form	1.03	eV per atom

[7]
DFT (PBE) results for a geometry-optimized LaNdPd4Pb2 structure.

Lattice parameters (Å, degrees): 4.7609 4.7609 9.1374 90.00 90.00 120.00
Closest atoms and distances in Å follow each position.
Space group P-6m2 (No. 187)
One atom of each set of equivalent atoms:
La1 0.0000 0.0000 0.0000 (multiplicity 1)  8 Pd 3.10-3.13
Nd1 0.6667 0.3333 0.5000 (multiplicity 1)  8 Pd 3.08-3.12
Pd1 0.0000 0.0000 0.3392 (multiplicity 2)  3 Pb 2.85, 4 Pd 2.94-3.18, 1 La 3.10, 3 Nd 3.12
Pd2 0.6667 0.3333 0.1635 (multiplicity 2)  3 Pb 2.88, 4 Pd 2.99-3.18, 1 Nd 3.08, 3 La 3.13
Pb1 0.3333 0.6667 0.2570 (multiplicity 2)  6 Pd 2.85-2.88

Computed properties:
DFT total energy	-5.404	eV per atom

[8]
DFT (PBE) results for a geometry-optimized LaNd2Pd3Pb3 structure.

Lattice parameters (Å, degrees): 4.1068 13.6891 7.8995 90.00 90.00 90.00
Closest atoms and distances in Å follow each position.
Space group Amm2 (No. 38)
One atom of each set of equivalent atoms:
La1 0.0000 0.0000 0.0000 (multiplicity 2)  5 Pd 3.15-3.22, 6 Pb 3.36-3.51
Nd1 0.0000 0.2029 0.6101 (multiplicity 4)  5 Pd 3.15-3.20, 6 Pb 3.35-3.48
Pd1 0.0000 0.0000 0.4079 (multiplicity 2)  6 Pb 2.88-2.90, 2 Nd 3.20, 1 La 3.22
Pd2 0.5000 0.1666 0.9083 (multiplicity 4)  3 Pb 2.96-2.99, 2 La 3.15, 4 Nd 3.15-3.16
Pb1 0.5000 0.0000 0.6631 (multiplicity 2)  4 Pd 2.88-2.99
Pb2 0.5000 0.1301 0.2804 (multiplicity 4)  4 Pd 2.90-2.98

Computed properties:
DFT total energy	-5.309	eV per atom

[9]
DFT (PBE) results for a geometry-optimized La2NdPdPt2Pb3 structure.

Lattice parameters (Å, degrees): 4.1720 13.6862 7.8978 90.00 90.00 90.00
Closest atoms and distances in Å follow each position.
Space group Amm2 (No. 38)
One atom of each set of equivalent atoms:
La1 0.0000 0.2062 0.0000 (multiplicity 4)  4 Pt 3.16-3.17, 1 Pd 3.27, 6 Pb 3.37-3.54
Nd1 0.0000 0.0000 0.3830 (multiplicity 2)  4 Pt 3.17, 1 Pd 3.23, 6 Pb 3.36-3.51
Pd1 0.0000 0.0000 0.7916 (multiplicity 2)  6 Pb 2.88-2.91, 1 Nd 3.23
Pt1 0.5000 0.1663 0.2933 (multiplicity 4)  3 Pb 2.98-3.02, 4 La 3.16-3.17, 2 Nd 3.17
Pb1 0.5000 0.0000 0.0489 (multiplicity 2)  2 Pd 2.91, 2 Pt 2.98
Pb2 0.5000 0.1258 0.6653 (multiplicity 4)  2 Pd 2.88, 2 Pt 2.99-3.02

Computed properties:
DFT total energy	-5.635	eV per atom

[10]
DFT (PBE) results for a geometry-optimized La2NdPd2PtPb3 structure.

Lattice parameters (Å, degrees): 4.1841 13.6333 7.8733 90.00 90.00 90.00
Closest atoms and distances in Å follow each position.
Space group Amm2 (No. 38)
One atom of each set of equivalent atoms:
La1 0.0000 0.2032 0.0000 (multiplicity 4)  4 Pd 3.17-3.18, 1 Pt 3.20, 6 Pb 3.38-3.51
Nd1 0.0000 0.0000 0.3927 (multiplicity 2)  4 Pd 3.18, 1 Pt 3.18, 6 Pb 3.38-3.47
Pd1 0.5000 0.1664 0.2964 (multiplicity 4)  3 Pb 2.95-2.99, 4 La 3.17-3.18, 2 Nd 3.18
Pt1 0.0000 0.0000 0.7968 (multiplicity 2)  6 Pb 2.91-2.92, 1 Nd 3.18, 2 La 3.20
Pb1 0.5000 0.0000 0.0561 (multiplicity 2)  2 Pt 2.92, 2 Pd 2.95
Pb2 0.5000 0.1276 0.6664 (multiplicity 4)  2 Pt 2.91, 2 Pd 2.96-2.99

Computed properties:
DFT total energy	-5.463	eV per atom

[11]
DFT (PBE) results for a geometry-optimized LaNd2Pd2PtPb3 structure.

Lattice parameters (Å, degrees): 4.1304 13.6494 7.8659 90.00 90.00 90.00
Closest atoms and distances in Å follow each position.
Space group Amm2 (No. 38)
One atom of each set of equivalent atoms:
La1 0.0000 0.0000 0.0000 (multiplicity 2)  4 Pd 3.16, 1 Pt 3.19, 6 Pb 3.36-3.49
Nd1 0.0000 0.2017 0.6070 (multiplicity 4)  4 Pd 3.16-3.17, 1 Pt 3.17, 6 Pb 3.37-3.47
Pd1 0.5000 0.1668 0.9065 (multiplicity 4)  3 Pb 2.95-2.98, 4 Nd 3.16-3.17, 2 La 3.16
Pt1 0.0000 0.0000 0.4062 (multiplicity 2)  6 Pb 2.89-2.91, 2 Nd 3.17, 1 La 3.19
Pb1 0.5000 0.0000 0.6625 (multiplicity 2)  2 Pt 2.89, 2 Pd 2.98
Pb2 0.5000 0.1303 0.2779 (multiplicity 4)  2 Pt 2.91, 2 Pd 2.95-2.96

Computed properties:
DFT total energy	-5.428	eV per atom

[12]
DFT (PBE) results for a geometry-optimized LaNd2PdPt2Pb3 structure.

Lattice parameters (Å, degrees): 4.1501 13.6472 7.8854 90.00 90.00 90.00
Closest atoms and distances in Å follow each position.
Space group Amm2 (No. 38)
One atom of each set of equivalent atoms:
La1 0.0000 0.0000 0.0000 (multiplicity 2)  4 Pt 3.16, 1 Pd 3.27, 6 Pb 3.35-3.53
Nd1 0.0000 0.2055 0.3820 (multiplicity 4)  4 Pt 3.15-3.16, 1 Pd 3.23, 6 Pb 3.35-3.51
Pd1 0.0000 0.0000 0.5856 (multiplicity 2)  6 Pb 2.87-2.90
Pt1 0.5000 0.1670 0.0870 (multiplicity 4)  3 Pb 2.97-3.00, 4 Nd 3.15-3.16, 2 La 3.16
Pb1 0.5000 0.0000 0.3341 (multiplicity 2)  2 Pd 2.87, 2 Pt 3.00
Pb2 0.5000 0.1282 0.7134 (multiplicity 4)  2 Pd 2.90, 2 Pt 2.97-2.99

Computed properties:
DFT total energy	-5.596	eV per atom

[13]
DFT (PBE) results for a geometry-optimized LaNd2Pt3Pb3 structure.

Lattice parameters (Å, degrees): 4.1711 13.5902 7.8444 90.00 90.00 90.00
Closest atoms and distances in Å follow each position.
Space group Amm2 (No. 38)
One atom of each set of equivalent atoms:
La1 0.0000 0.0000 0.0000 (multiplicity 2)  5 Pt 3.16-3.23, 6 Pb 3.35-3.52
Nd1 0.0000 0.2040 0.3865 (multiplicity 4)  5 Pt 3.16-3.19, 6 Pb 3.36-3.49
Pt1 0.0000 0.0000 0.5885 (multiplicity 2)  6 Pb 2.88-2.90, 2 Nd 3.19, 1 La 3.23
Pt2 0.5000 0.1669 0.0892 (multiplicity 4)  3 Pb 2.95-2.98, 4 Nd 3.16-3.17, 2 La 3.16
Pb1 0.5000 0.0000 0.3348 (multiplicity 2)  4 Pt 2.88-2.98
Pb2 0.5000 0.1289 0.7167 (multiplicity 4)  4 Pt 2.90-2.97

Computed properties:
DFT total energy	-5.714	eV per atom

[14]
DFT (PBE) results for a geometry-optimized LaNd2Sn3Pb4 structure.

Lattice parameters (Å, degrees): 4.6924 26.0327 4.7877 90.00 90.00 90.00
Closest atoms and distances in Å follow each position.
Space group Cmmm (No. 65)
One atom of each set of equivalent atoms:
La1 0.0000 0.0000 0.0000 (multiplicity 2)  4 Sn 3.35, 8 Pb 3.45-3.50
Nd1 0.0000 0.1897 0.0000 (multiplicity 4)  4 Pb 3.37-3.38, 6 Sn 3.39-3.55
Sn1 0.0000 0.2906 0.5000 (multiplicity 4)  2 Sn 3.16, 4 Nd 3.39
Sn2 0.0000 0.5000 0.5000 (multiplicity 2)  4 La 3.35, 8 Pb 3.47-3.48
Pb1 0.0000 0.0983 0.5000 (multiplicity 4)  4 Pb 3.35, 2 Nd 3.38, 4 Sn 3.47-3.73, 2 La 3.50
Pb2 0.0000 0.4030 0.0000 (multiplicity 4)  4 Pb 3.35, 2 Nd 3.37, 2 La 3.45, 2 Sn 3.48

Computed properties:
DFT total energy	-4.656	eV per atom

[15]
DFT (PBE) results for a geometry-optimized LaNd2Si4Pd2Pt2 structure.

Lattice parameters (Å, degrees): 4.1793 4.2898 24.5844 90.00 90.00 90.00
Closest atoms and distances in Å follow each position.
Space group Immm (No. 71)
One atom of each set of equivalent atoms:
La1 0.0000 0.0000 0.0000 (multiplicity 2)  4 Pd 3.19, 8 Si 3.23
Nd1 0.0000 0.5000 0.1471 (multiplicity 4)  6 Si 3.19-3.23, 4 Pd 3.23, 4 Pt 3.27-3.33
Si1 0.0000 0.0000 0.4511 (multiplicity 4)  1 Si 2.41, 2 Pd 2.46
Si2 0.0000 0.5000 0.3036 (multiplicity 4)  1 Pd 2.43, 4 Pt 2.44-2.55
Pd1 0.0000 0.5000 0.4022 (multiplicity 4)  3 Si 2.43-2.46
Pt1 0.0000 0.0000 0.2476 (multiplicity 4)  4 Si 2.44-2.55

Computed properties:
DFT total energy	-6.330	eV per atom

[16]
DFT (PBE) results for a geometry-optimized La2NdSn3PdPt2 structure.

Lattice parameters (Å, degrees): 4.1798 13.3631 7.7155 90.00 90.00 90.00
Closest atoms and distances in Å follow each position.
Space group Amm2 (No. 38)
One atom of each set of equivalent atoms:
La1 0.0000 0.2071 0.0000 (multiplicity 4)  4 Pt 3.12-3.13, 1 Pd 3.20, 4 Sn 3.33-3.49
Nd1 0.0000 0.0000 0.3805 (multiplicity 2)  4 Pt 3.13, 1 Pd 3.16, 6 Sn 3.33-3.46
Sn1 0.5000 0.0000 0.0440 (multiplicity 2)  2 Pd 2.86, 2 Pt 2.93
Sn2 0.5000 0.1236 0.6659 (multiplicity 4)  2 Pd 2.83, 2 Pt 2.94-2.97
Pd1 0.0000 0.0000 0.7907 (multiplicity 2)  6 Sn 2.83-2.86, 1 Nd 3.16
Pt1 0.5000 0.1665 0.2917 (multiplicity 4)  3 Sn 2.93-2.97, 4 La 3.12-3.13, 2 Nd 3.13

Computed properties:
DFT total energy	-5.918	eV per atom

[17]
DFT (PBE) results for a geometry-optimized LaNd2Sn3PdPt2 structure.

Lattice parameters (Å, degrees): 4.1519 13.3233 7.6889 90.00 90.00 90.00
Closest atoms and distances in Å follow each position.
Space group Amm2 (No. 38)
One atom of each set of equivalent atoms:
La1 0.0000 0.0000 0.0000 (multiplicity 2)  4 Pt 3.11, 1 Pd 3.20, 2 Sn 3.32
Nd1 0.0000 0.2060 0.3804 (multiplicity 4)  4 Pt 3.11-3.12, 1 Pd 3.16, 6 Sn 3.32-3.46
Sn1 0.5000 0.0000 0.3365 (multiplicity 2)  2 Pd 2.82, 2 Pt 2.95
Sn2 0.5000 0.1268 0.7097 (multiplicity 4)  2 Pd 2.85, 2 Pt 2.91-2.93
Pd1 0.0000 0.0000 0.5843 (multiplicity 2)  6 Sn 2.82-2.85
Pt1 0.5000 0.1668 0.0849 (multiplicity 4)  3 Sn 2.91-2.95, 4 Nd 3.11-3.12, 2 La 3.11

Computed properties:
DFT total energy	-5.886	eV per atom

[18]
DFT (PBE) results for a geometry-optimized La2NdSn3Pd2Pt structure.

Lattice parameters (Å, degrees): 4.1836 13.3331 7.6916 90.00 90.00 90.00
Closest atoms and distances in Å follow each position.
Space group Amm2 (No. 38)
One atom of each set of equivalent atoms:
La1 0.0000 0.2061 0.0000 (multiplicity 4)  4 Pd 3.12-3.13, 1 Pt 3.18, 6 Sn 3.34-3.48
Nd1 0.0000 0.0000 0.3838 (multiplicity 2)  4 Pd 3.13, 1 Pt 3.14, 6 Sn 3.34-3.44
Sn1 0.5000 0.0000 0.0451 (multiplicity 2)  2 Pt 2.85, 2 Pd 2.92
Sn2 0.5000 0.1240 0.6670 (multiplicity 4)  2 Pt 2.84, 2 Pd 2.93-2.96
Pd1 0.5000 0.1661 0.2931 (multiplicity 4)  3 Sn 2.92-2.96, 4 La 3.12-3.13, 2 Nd 3.13
Pt1 0.0000 0.0000 0.7926 (multiplicity 2)  6 Sn 2.84-2.85, 1 Nd 3.14

Computed properties:
DFT total energy	-5.758	eV per atom

[19]
DFT (PBE) results for a geometry-optimized La2NdSi4Pd4 structure.

Lattice parameters (Å, degrees): 4.1890 4.2758 24.7796 90.00 90.00 90.00
Closest atoms and distances in Å follow each position.
Space group Immm (No. 71)
One atom of each set of equivalent atoms:
La1 0.0000 0.0000 0.1468 (multiplicity 4)  6 Si 3.23-3.24, 8 Pd 3.24-3.33
Nd1 0.0000 0.5000 0.0000 (multiplicity 2)  4 Pd 3.19, 8 Si 3.22
Si1 0.0000 0.0000 0.3028 (multiplicity 4)  5 Pd 2.46-2.52
Si2 0.0000 0.5000 0.4522 (multiplicity 4)  1 Si 2.37, 2 Pd 2.46
Pd1 0.0000 0.0000 0.4029 (multiplicity 4)  3 Si 2.46-2.48
Pd2 0.0000 0.5000 0.2489 (multiplicity 4)  4 Si 2.46-2.52

Computed properties:
DFT total energy	-6.128	eV per atom

[20]
DFT (PBE) results for a geometry-optimized La2NdSi2Sn2Pd4 structure.

Lattice parameters (Å, degrees): 4.1568 4.4504 26.4012 90.00 90.00 90.00
Closest atoms and distances in Å follow each position.
Space group Immm (No. 71)
One atom of each set of equivalent atoms:
La1 0.0000 0.0000 0.1551 (multiplicity 4)  8 Pd 3.26-3.35, 4 Si 3.28, 2 Sn 3.39
Nd1 0.0000 0.5000 0.0000 (multiplicity 2)  8 Sn 3.36, 4 Pd 3.57
Si1 0.0000 0.0000 0.2987 (multiplicity 4)  5 Pd 2.41-2.57
Sn1 0.0000 0.5000 0.4462 (multiplicity 4)  2 Pd 2.67, 1 Sn 2.84
Pd1 0.0000 0.0000 0.3901 (multiplicity 4)  1 Si 2.41, 2 Sn 2.67
Pd2 0.0000 0.5000 0.2500 (multiplicity 4)  4 Si 2.44-2.57

Computed properties:
DFT total energy	-5.821	eV per atom